Entry from the Alexandria database: crystalline Na3Ac3WO8 at its relaxed geometry (PBE with a Hubbard U).

a = 7.3509 Å, b = 7.3889 Å, c = 6.9859 Å
α = 121.45°, β = 90.00°, γ = 119.83°
Closest atoms and distances in Å follow each position.
Sites, in units of the cell vectors:
Na: 0.0000 0.0000 0.0000  6 O 2.58-2.67
Na: 0.0000 0.5000 0.0000  6 O 2.60-2.62
Na: 0.5000 0.5000 0.0000  6 O 2.60-2.62
Ac: 0.5000 0.0000 0.5000  6 O 2.46-2.56
Ac: 0.5000 0.5000 0.5000  6 O 2.47-2.58
Ac: 0.0000 0.5000 0.5000  6 O 2.47-2.58
W: 0.0000 0.0000 0.5000  6 O 2.12-2.22
O: 0.2609 0.5219 0.2770  3 Ac 2.46-2.47, 3 Na 2.61-2.67
O: 0.7391 0.4781 0.7230  3 Ac 2.46-2.47, 3 Na 2.61-2.67
O: 0.7848 0.5696 0.2963  1 W 2.22
O: 0.2152 0.4304 0.7037  1 W 2.22
O: 0.7923 0.0087 0.2997  1 W 2.12
O: 0.2077 0.9913 0.7003  1 W 2.12
O: 0.2164 0.0087 0.2997  1 W 2.12
O: 0.7836 0.9913 0.7003  1 W 2.12

Properties
* raw total energy: -99.50 eV for the cell shown
* magnetization: 0.133 μB/atom
* SG: No. 12
* mass density: 6.705 Mg/m³